[1]
Computed, not measured: crystalline Cs3LaU3Se8 at its relaxed geometry at the PBE level of DFT.

Values from the calculation:
SG   R-3m, No. 166
Formation energy from raw total energies   -20.601 eV/f.u.

```
Cs3LaU3Se8
1.0
4.2846 2.4737 8.5078
-4.2846 2.4737 8.5078
0.0000 -4.9475 8.5078
Cs La U Se
3 1 3 8
direct
0.0000 0.5000 0.5000 Cs
0.5000 0.0000 0.5000 Cs
0.5000 0.5000 0.0000 Cs
0.5000 0.5000 0.5000 La
0.0000 0.0000 0.5000 U
0.0000 0.5000 0.0000 U
0.5000 0.0000 0.0000 U
0.2160 0.7351 0.7351 Se
0.2282 0.2282 0.2282 Se
0.2649 0.2649 0.7840 Se
0.2649 0.7840 0.2649 Se
0.7351 0.2160 0.7351 Se
0.7351 0.7351 0.2160 Se
0.7718 0.7718 0.7718 Se
0.7840 0.2649 0.2649 Se
```

***

[2]
Computed, not measured: crystalline AcLa5PrSm2 at its relaxed geometry at the PBE level of DFT.

Values from the calculation:
Formation energy from the elements   0.2479 eV per atom
SG   I4/mcm, No. 140

```
AcLa5PrSm2
1.0
-4.6776 4.6776 7.7606
4.6776 -4.6776 7.7606
4.6776 4.6776 -7.7606
Ac La Pr Sm
2 10 2 4
direct
0.2500 0.7500 0.5000 Ac
0.7500 0.2500 0.5000 Ac
0.0000 0.0000 0.0000 La
0.0769 0.5769 0.9142 La
0.1626 0.0769 0.5000 La
0.3374 0.8374 0.9142 La
0.4231 0.3374 0.5000 La
0.5000 0.5000 0.0000 La
0.5769 0.6626 0.5000 La
0.6626 0.1626 0.0858 La
0.8374 0.9231 0.5000 La
0.9231 0.4231 0.0858 La
0.2500 0.2500 0.0000 Pr
0.7500 0.7500 0.0000 Pr
0.1118 0.3882 0.5000 Sm
0.3882 0.8882 0.2765 Sm
0.6118 0.1118 0.7235 Sm
0.8882 0.6118 0.5000 Sm
```

***

no.,V (Å³/atom)
1,36.1
2,37.7